Below is Tl2Co at its PBEsol-relaxed geometry, with properties calculated at the SCAN level.

Unit cell a=3.283 b=4.951 c=7.762 alpha=90.00 beta=102.21 gamma=90.00
Last column: magnetic moment on the atom in μB.
Element x y z (fractional)
Co (0.794, 0.750, 0.587)  1.67
Co (0.206, 0.250, 0.413)  1.67
Tl (0.157, 0.750, 0.314)  -0.06
Tl (0.438, 0.750, 0.876)  -0.04
Tl (0.562, 0.250, 0.124)  -0.04
Tl (0.843, 0.250, 0.686)  -0.06

ρ in g/cm³: 12.599
Formation energy in meV/atom: 497